Arrangement i

A plane-wave DFT calculation with PBE-GGA was carried out for a geometry-optimized Pm3Nd8Sm2 structure.

abc: 6.2602 8.9501 8.9501
angles: 83.71 72.72 72.72
Atoms (fractional coordinates):
Pm 0.5000 0.0000 0.0000
Pm 0.0000 0.2446 0.7554
Pm 0.0000 0.7554 0.2446
Nd 0.2174 0.5545 0.5545
Nd 0.7826 0.4455 0.4455
Nd 0.9468 0.1525 0.1525
Nd 0.0532 0.8475 0.8475
Nd 0.6725 0.5720 0.0839
Nd 0.6725 0.0839 0.5720
Nd 0.3275 0.9161 0.4280
Nd 0.3275 0.4280 0.9161
Sm 0.3484 0.2878 0.2878
Sm 0.6516 0.7122 0.7122

***

Arrangement ii

A plane-wave DFT calculation with PBE-GGA was carried out for a geometry-optimized Pm3Nd8Sm2 structure.

abc: 5.8109 7.7492 11.0755
angles: 110.48 90.04 90.00
Atoms (fractional coordinates):
Pm 0.5000 0.0000 0.0000
Pm 0.0000 0.2872 0.0000
Pm 0.0000 0.7128 0.0000
Nd 0.0015 0.6724 0.3449
Nd 0.9985 0.3276 0.6551
Nd 0.9992 0.1337 0.2675
Nd 0.0008 0.8663 0.7325
Nd 0.4997 0.6016 0.7880
Nd 0.4997 0.1864 0.7880
Nd 0.5003 0.8136 0.2120
Nd 0.5003 0.3984 0.2120
Sm 0.4980 0.2414 0.4828
Sm 0.5020 0.7586 0.5172

***

Energy relative to the most stable one, in kJ/mol of atoms: arrangement i 0.0; arrangement ii 5.4